10
Lattice="-3.7986 -1.5293 -5.3722 5.5763 -1.4136 -3.5405 -0.1614 -3.2146 1.0292" Properties=species:S:1:pos:R:3 comment="PBE HfTi2P2, relaxed" delta_e_f_kj_per_mol_atoms=-105 crystal_system=tetragonal magnetic_moment_mub_per_fu=0.00 dos_ef_per_ev_cell=2.86 relative_energy_ev_per_atom=0.000 pbc="T T T"
P 3.4321 -1.7729 -4.9989
P 0.2810 -2.2202 -6.8901
P -1.6544 -1.1700 -3.9138
P 1.4968 -0.7227 -2.0226
Hf 0.0000 0.0000 0.0000
Hf 0.8889 -1.4715 -4.4563
Ti 2.9871 -2.7771 -2.6578
Ti 2.1214 -3.8038 -6.0001
Ti -1.3708 -3.3804 -5.2256
Ti -0.5051 -2.3538 -1.8833